# 1
The following is a DFT calculation (PBE-GGA) of PuTlI5 after structural relaxation.

Lattice parameters (Å, degrees): 8.2166 8.2166 12.0193 95.02 110.54 111.04
Closest atoms and distances in Å follow each position.
Fractional positions:
I1 0.6664 0.9164 0.7500  2 Pu 3.09
I2 0.7905 0.1063 0.1264  1 Pu 2.95
I3 0.4799 0.6641 0.3736  1 Pu 2.95
I4 0.8846 0.2066 0.5022  1 Pu 2.99
I5 0.2045 0.3824 0.9978  1 Pu 2.99
I6 0.7955 0.6176 0.0022  1 Pu 2.99
I7 0.1154 0.7934 0.4978  1 Pu 2.99
I8 0.2095 0.8937 0.8736  1 Pu 2.95
I9 0.3336 0.0836 0.2500  2 Pu 3.09
I10 0.5201 0.3359 0.6264  1 Pu 2.95
Tl1 0.2764 0.5264 0.7500  5 I 3.46-3.63
Tl2 0.7236 0.4736 0.2500  5 I 3.46-3.63
Pu1 0.5000 0.0000 0.5000  6 I 2.95-3.09
Pu2 0.0000 0.0000 0.0000  6 I 2.95-3.09

Calculated values
Space group = C2/c, No. 15
Formation energy from raw total energies = -764 meV/atom
M_tot = 4.000 μB/f.u.

=====

# 2
The following is a DFT calculation (PBE-GGA) of PuTlI3 after structural relaxation.

Lattice parameters (Å, degrees): 6.2132 6.2132 6.2132 90.00 90.00 90.00
Closest atoms and distances in Å follow each position.
Fractional positions:
I1 0.5000 0.0000 0.0000  2 Pu 3.11
I2 0.0000 0.5000 0.0000  2 Pu 3.11
I3 0.0000 0.0000 0.5000  2 Pu 3.11
Pu1 0.0000 0.0000 0.0000  6 I 3.11
Tl1 0.5000 0.5000 0.5000  12 I 4.39

Calculated values
Polymorph energy (0 for the lowest one) = 0.1050 eV per atom
Space group = Pm-3m, No. 221
Formation energy from raw total energies = -752 meV/atom
M_tot = 6.010 μB/f.u.

=====

> What is the M_tot in the second record?

6.010 μB/f.u.